No. 1
A crystal of La3SnRh relaxed with PBEsol, computed with SCAN.

```
La3SnRh
1.0
5.409 0.000 0.000
0.000 5.409 0.000
0.000 0.000 5.409
La Sn Rh
3 1 1
Direct
0.000 0.000 0.500
0.000 0.500 0.000
0.500 0.000 0.000
0.500 0.500 0.500
0.000 0.000 0.000
```

Calculated values
SG = Pm-3m (221)
Fermi-level density of states = 3.644 states/eV per cell
Formation energy = -0.69 eV/atom

---

No. 2
A crystal of Al2HgPt relaxed with PBEsol, computed with SCAN.

```
Al2HgPt
1.0
3.179 0.000 0.000
0.000 4.661 0.000
-0.475 0.000 4.607
Al Hg Pt
2 1 1
Direct
0.000 0.000 0.000
0.485 0.500 0.210
0.973 0.500 0.716
0.581 0.000 0.421
```

Calculated values
SG = Pm (6)
Fermi-level density of states = 1.141 states/eV per cell
Formation energy = -0.46 eV/atom